Record 1
Compound: Mg2TlAg
Source: Alexandria
Functional: GGA-PBEsol
Structure: relaxed

Calculated values
For the formation energy, the calculation gives -0.58 eV/f.u. The value obtained for the size of the total moment is 0.00 μB per formula unit. The calculation puts the uncorrected energy at -10.0 eV for the cell shown.

Geometry as extended XYZ:
```
4
Lattice="3.389 0.000 0.000 0.000 3.389 0.000 0.000 0.000 7.137" Properties=species:S:1:pos:R:3 pbc="T T T"
Ag 1.694 1.694 3.568
Tl 1.694 1.694 0.000
Mg 0.000 0.000 5.140
Mg 0.000 0.000 1.997
```

Record 2
Compound: ZnAsPt5
Source: Alexandria
Functional: GGA-PBEsol
Structure: relaxed

Calculated values
For the formation energy, the calculation gives -2.12 eV/f.u. The value obtained for the size of the total moment is 0.00 μB per formula unit. The calculation puts the uncorrected energy at -43.6 eV for the cell shown.

Geometry as extended XYZ:
```
7
Lattice="3.907 0.000 0.000 0.000 3.907 0.000 0.000 0.000 7.061" Properties=species:S:1:pos:R:3 pbc="T T T"
Pt 1.954 0.000 5.116
Pt 0.000 1.954 5.116
Zn 1.954 1.954 0.000
Pt 0.000 1.954 1.945
As 0.000 0.000 3.530
Pt 0.000 0.000 0.000
Pt 1.954 0.000 1.945
```

Record 3
Compound: NaSb3Mo
Source: Alexandria
Functional: GGA-PBEsol
Structure: relaxed

Calculated values
The value obtained for the size of the total moment is 3.68 μB per formula unit. Its formation energy (no corrections) is 1493 meV per atom. The calculation puts the uncorrected energy at -19.4 eV for the cell shown.

Geometry as extended XYZ:
```
5
Lattice="-3.249 0.660 3.986 2.308 -3.896 2.526 3.316 3.357 2.148" Properties=species:S:1:pos:R:3 pbc="T T T"
Sb 1.658 1.679 1.074
Na 0.000 0.000 0.000
Sb -1.625 0.330 1.993
Mo 1.187 0.061 4.330
Sb 1.154 -1.948 1.263
```

Record 4
Compound: MnCd2Ni
Source: Alexandria
Functional: GGA-PBEsol
Structure: relaxed

Calculated values
For the formation energy, the calculation gives 0.84 eV/f.u. The value obtained for the size of the total moment is 3.76 μB per formula unit. For the offset from the most stable computed form, the calculation gives 0.06 eV per formula unit. The calculation puts the uncorrected energy at -17.5 eV for the cell shown.

Geometry as extended XYZ:
```
4
Lattice="4.438 0.000 0.000 2.219 3.844 0.000 2.219 1.281 3.624" Properties=species:S:1:pos:R:3 pbc="T T T"
Cd 2.219 1.281 0.906
Ni 4.438 2.562 1.812
Mn 0.000 0.000 0.000
Cd 6.657 3.844 2.718
```

Record 5
Compound: CoSbAu2
Source: Alexandria
Functional: GGA-PBEsol
Structure: relaxed

Calculated values
The value obtained for the size of the total moment is 0.89 μB per formula unit. Its formation energy (no corrections) is 239 meV per atom. The calculation puts the uncorrected energy at -19.2 eV for the cell shown.

Geometry as extended XYZ:
```
4
Lattice="-0.120 -1.771 -2.691 3.711 1.735 -1.253 0.699 -3.653 4.278" Properties=species:S:1:pos:R:3 pbc="T T T"
Co -0.060 -0.886 -1.345
Au 2.145 -1.845 0.167
Au 0.350 -1.826 2.139
Sb 1.856 0.867 -0.627
```

Record 6
Compound: LiGeN
Source: Alexandria
Functional: GGA-PBEsol
Structure: relaxed

Calculated values
The value obtained for the size of the total moment is 0.00 μB per formula unit. Its formation energy (no corrections) is -415 meV per atom. For the offset from the most stable computed form, the calculation gives 0.00 eV per formula unit. The calculation puts the uncorrected energy at -33.4 eV for the cell shown.

Geometry as extended XYZ:
```
6
Lattice="-0.505 1.272 -2.643 1.976 -2.214 0.233 -6.736 -6.192 -1.694" Properties=species:S:1:pos:R:3 pbc="T T T"
N -2.350 -2.346 -2.357
Li -0.577 -2.639 -1.160
N -4.891 -6.604 -2.245
Ge -0.016 -0.015 -0.004
Li -4.772 -4.572 -2.966
Ge -3.385 -3.111 -0.851
```

Record 7
Compound: Fe2CoP3O12
Source: Alexandria
Functional: GGA-PBEsol
Structure: relaxed

Calculated values
The value obtained for the size of the total moment is 12.57 μB per formula unit. Its formation energy (no corrections) is -1677 meV per atom. The calculation puts the uncorrected energy at -272.4 eV for the cell shown.

Geometry as extended XYZ:
```
36
Lattice="-0.561 -5.935 -5.771 5.888 -5.843 -0.163 -2.039 -7.654 2.470" Properties=species:S:1:pos:R:3 pbc="T T T"
O 1.395 -5.734 -2.670
Fe 2.115 -12.500 -2.229
O 3.064 -11.079 -1.093
O -1.215 -10.968 0.202
P 4.367 -11.236 -0.251
P 4.068 -7.428 -2.633
P 2.166 -10.766 -4.980
O 3.971 -11.782 1.154
O 2.231 -6.080 0.066
O -1.701 -9.590 -3.241
P 1.121 -8.666 1.515
O 2.032 -10.838 -3.429
P -0.780 -12.004 -0.832
O 3.683 -10.674 -5.329
Fe 1.173 -6.932 -1.236
O 0.548 -11.446 -1.427
O 2.740 -7.986 -2.038
O -0.395 -8.758 1.865
Fe 0.471 -2.784 -0.496
O 1.255 -8.594 -0.036
Co 1.644 -9.716 -1.732
O 1.928 -9.897 1.924
O -0.683 -7.650 -4.619
O 4.503 -8.464 -3.667
Co 0.000 0.000 0.000
O 1.057 -13.352 -3.531
P -1.080 -8.196 -3.213
O 5.080 -7.238 -1.462
O 1.360 -9.535 -5.389
O 4.989 -9.842 -0.224
O 3.828 -13.010 -2.817
Fe 2.817 -16.648 -2.968
O 1.893 -13.698 -0.795
O -0.541 -6.422 -0.648
O 0.223 -8.353 -2.372
O -1.792 -12.194 -2.003
```

Record 8
Compound: Sr3Li4La5O12
Source: Alexandria
Functional: GGA-PBEsol
Structure: relaxed

Calculated values
The value obtained for the size of the total moment is 0.28 μB per formula unit. Its formation energy (no corrections) is -2836 meV per atom. The calculation puts the uncorrected energy at -171.2 eV for the cell shown.

Geometry as extended XYZ:
```
24
Lattice="-2.344 -2.462 0.952 2.921 -0.389 6.190 -8.225 9.564 4.478" Properties=species:S:1:pos:R:3 pbc="T T T"
Sr -7.362 6.223 4.510
La -2.772 2.862 7.121
O -7.123 7.217 7.671
O 0.637 0.763 3.542
O -2.802 5.154 6.429
Li -6.019 8.129 6.201
O -0.361 3.405 7.917
La -5.642 8.844 8.978
La 0.886 1.717 6.622
Sr -1.113 2.535 3.814
O -2.528 0.865 2.556
O -1.438 1.148 5.972
O -6.028 4.439 3.179
La -0.814 -0.919 2.166
Li -3.839 2.247 2.903
Sr -5.377 5.422 7.327
O -4.007 7.117 8.539
O 0.776 -0.873 6.201
O -3.661 2.786 4.735
Li -2.664 5.732 8.265
Li -0.450 -0.212 4.890
O -4.994 6.762 5.189
O -7.290 8.862 4.965
La -3.726 5.109 4.037
```

Record 9
Compound: AlCu2Au
Source: Alexandria
Functional: GGA-PBEsol
Structure: relaxed

Calculated values
For the formation energy, the calculation gives -0.90 eV/f.u. The value obtained for the size of the total moment is 0.00 μB per formula unit. The calculation puts the uncorrected energy at -17.6 eV for the cell shown.

Geometry as extended XYZ:
```
4
Lattice="4.243 0.000 0.000 2.122 3.675 0.000 2.122 1.225 3.465" Properties=species:S:1:pos:R:3 pbc="T T T"
Al 4.243 2.450 1.732
Cu 6.365 3.675 2.598
Cu 0.000 0.000 0.000
Au 2.122 1.225 0.866
```

Record 10
Compound: ZrPt2S
Source: Alexandria
Functional: GGA-PBEsol
Structure: relaxed

Calculated values
The value obtained for the size of the total moment is 0.00 μB per formula unit. Its formation energy (no corrections) is -329 meV per atom. The calculation puts the uncorrected energy at -28.7 eV for the cell shown.

Geometry as extended XYZ:
```
4
Lattice="-1.072 -2.750 3.475 3.180 -2.705 1.831 1.605 0.873 4.177" Properties=species:S:1:pos:R:3 pbc="T T T"
Zr 1.856 -2.291 4.741
Pt 0.928 -1.146 2.371
Pt 2.785 -3.437 7.112
S 0.000 0.000 0.000
```

Record 11
Compound: ZrTaMn
Source: Alexandria
Functional: GGA-PBEsol
Structure: relaxed

Calculated values
For the formation energy, the calculation gives 0.38 eV/f.u. The value obtained for the size of the total moment is 0.00 μB per formula unit. For the offset from the most stable computed form, the calculation gives 0.51 eV per formula unit. The calculation puts the uncorrected energy at -31.0 eV for the cell shown.

Geometry as extended XYZ:
```
3
Lattice="3.042 0.000 0.000 0.000 4.315 0.000 0.000 -2.157 3.737" Properties=species:S:1:pos:R:3 pbc="T T T"
Ta 2.167 2.157 1.246
Mn 2.990 0.000 0.000
Zr 0.926 0.000 2.491
```